Record 1
This record from Alexandria describes a relaxed Cr2CoHg crystal. The functional is GGA-PBEsol.

```
Cr2CoHg
1.0
2.6453 0.0154 0.0000
-0.9696 2.4613 0.0000
0.0000 0.0000 8.2041
Hg Co Cr
1 1 2
direct
0.0000 0.0000 0.4956
0.5000 0.5000 0.2167
0.5000 0.5000 0.7894
0.0000 0.0000 0.9982
```

=====

Record 2
This record from Alexandria describes a relaxed K6Na3Ti2Al2Si8Cl3O26 crystal. The functional is GGA-PBEsol.

```
K6Na3Ti2Al2Si8Cl3O26
1.0
9.1596 0.0008 0.0005
-1.3811 9.5700 -0.0017
-1.3759 -4.3441 8.5277
O K Al Si Na Cl Ti
26 6 2 8 3 3 2
direct
0.6288 0.8612 0.3971
0.0990 0.5060 0.7406
0.1099 0.6776 0.1796
0.0988 0.7407 0.5064
0.3536 0.9169 0.2981
0.9012 0.2593 0.4936
0.3712 0.1388 0.6029
0.3713 0.6031 0.1387
0.2570 0.9966 0.7585
0.4004 0.5392 0.8322
0.6468 0.7017 0.0834
0.1096 0.1791 0.6773
0.6287 0.3969 0.8613
0.7430 0.0034 0.2415
0.8901 0.3224 0.8204
0.6001 0.1680 0.4613
0.6464 0.0831 0.7019
0.8904 0.8209 0.3227
0.3532 0.2983 0.9166
0.7432 0.2416 0.0035
0.3000 0.7251 0.7250
0.5996 0.4608 0.1678
0.3999 0.8320 0.5387
0.2568 0.7584 0.9965
0.9010 0.4940 0.2594
0.7000 0.2749 0.2750
0.6516 0.9065 0.9069
0.3484 0.0935 0.0931
0.8917 0.9315 0.6479
0.8920 0.6478 0.9315
0.1083 0.0685 0.3521
0.1080 0.3522 0.0685
0.0000 0.6855 0.3148
0.0000 0.3145 0.6852
0.7215 0.8386 0.2600
0.2786 0.7402 0.1615
0.2645 0.6260 0.8220
0.7214 0.2598 0.8385
0.7355 0.3740 0.1780
0.7356 0.1780 0.3740
0.2644 0.8220 0.6260
0.2785 0.1614 0.7400
0.0000 0.5000 0.5000
0.4999 0.6168 0.3831
0.5001 0.3832 0.6169
0.2755 0.3795 0.3795
0.7245 0.6205 0.6205
0.0000 0.0000 0.0000
0.5000 0.5000 0.0000
0.5000 0.0000 0.5000
```

=====

Record 3
This record from Alexandria describes a relaxed KTe2Se2 crystal. The functional is GGA-PBEsol.

```
KTe2Se2
1.0
3.7027 0.0000 0.0000
0.0000 8.6764 0.0000
0.0000 0.0000 8.6764
Se K Te
4 2 4
direct
0.5000 0.2958 0.2042
0.5000 0.2042 0.7042
0.5000 0.7042 0.7958
0.5000 0.7958 0.2958
0.0000 0.5000 0.5000
0.0000 0.0000 0.0000
0.0000 0.8710 0.6290
0.0000 0.1290 0.3710
0.0000 0.6290 0.1290
0.0000 0.3710 0.8710
```

=====

Record 4
This record from Alexandria describes a relaxed LaFeNO2 crystal. The functional is GGA-PBEsol.

```
LaFeNO2
1.0
-1.1159 2.8564 3.2034
-4.2069 -0.8291 -0.7262
0.1312 -3.2216 2.9184
N O Fe La
1 2 1 1
direct
0.5000 0.0000 0.0000
0.0000 0.0000 0.5000
0.0000 0.5000 0.0000
0.5000 0.5000 0.5000
0.0000 0.0000 0.0000
```

=====

no.,E_tot (eV for the cell shown),V (Å³/cell)
1,-26.90,53.54
2,-356.96,747.46
3,-34.16,278.74
4,-32.55,83.87